Here is a relaxed structure of La3Sn3Ir2Pt from the Open Quantum Materials Database. Energies are from PBE-GGA.

Values from the calculation:
Magnetization ... 0.00 μB per cell
Calculated total energy ... -58.7 eV per cell
V ... 23.44 Å³ per atom

a = 7.5838 Å, b = 7.5838 Å, c = 4.2360 Å
α = 90.00°, β = 90.00°, γ = 120.00°
Space group P-62m (No. 189)
One atom of each set of equivalent atoms:
La 0.0000 0.4177 0.0000
Sn 0.0000 0.7485 0.5000
Ir 0.3333 0.6667 0.5000
Pt 0.0000 0.0000 0.0000



Here is a relaxed structure of RbMgBiPt from the Open Quantum Materials Database. Energies are from PBE-GGA.

Values from the calculation:
Energy above the most stable polymorph in this dataset ... 135.9 meV/atom
Magnetization ... 0.00 μB per cell
Calculated total energy ... -47.1 eV per cell
V ... 26.29 Å³ per atom

a = 7.4929 Å, b = 7.4929 Å, c = 7.4929 Å
α = 90.00°, β = 90.00°, γ = 90.00°
Space group F-43m (No. 216)
One atom of each set of equivalent atoms:
Rb 0.0000 0.0000 0.0000
Mg 0.0000 0.0000 0.5000
Bi 0.2500 0.2500 0.7500
Pt 0.2500 0.2500 0.2500



Here is a relaxed structure of SrMg2Cu from the Open Quantum Materials Database. Energies are from PBE-GGA.

Values from the calculation:
Calculated total energy ... -32.6 eV per cell
V ... 24.50 Å³ per atom

a = 7.3190 Å, b = 7.3190 Å, c = 7.3190 Å
α = 90.00°, β = 90.00°, γ = 90.00°
Space group F-43m (No. 216)
One atom of each set of equivalent atoms:
Sr 0.0000 0.0000 0.0000
Mg 0.0000 0.0000 0.5000
Mg 0.2500 0.2500 0.7500
Cu 0.2500 0.2500 0.2500



Here is a relaxed structure of CsMgNiSb from the Open Quantum Materials Database. Energies are from PBE-GGA.

Values from the calculation:
Energy above the most stable polymorph in this dataset ... 0.0 meV/atom
Magnetization ... 0.06 μB per cell
Calculated total energy ... -41.4 eV per cell
V ... 24.83 Å³ per atom

a = 7.3509 Å, b = 7.3509 Å, c = 7.3509 Å
α = 90.00°, β = 90.00°, γ = 90.00°
Space group F-43m (No. 216)
One atom of each set of equivalent atoms:
Cs 0.0000 0.0000 0.0000
Mg 0.2500 0.2500 0.7500
Ni 0.2500 0.2500 0.2500
Sb 0.0000 0.0000 0.5000



Here is a relaxed structure of TbGd3Sn2C2 from the Open Quantum Materials Database. Energies are from PBE-GGA.

Values from the calculation:
Magnetization ... 0.02 μB per cell
Calculated total energy ... -49.0 eV per cell
V ... 23.26 Å³ per atom

a = 3.6546 Å, b = 3.6546 Å, c = 16.0878 Å
α = 90.00°, β = 90.00°, γ = 120.00°
Space group P3m1 (No. 156)
One atom of each set of equivalent atoms:
Tb 0.0000 0.0000 0.0000
Gd 0.0000 0.0000 0.3303
Gd 0.3333 0.6667 0.5004
Gd 0.3333 0.6667 0.8307
Sn 0.0000 0.0000 0.6655
Sn 0.3333 0.6667 0.1647
C 0.6667 0.3333 0.4153
C 0.6667 0.3333 0.9159



Here is a relaxed structure of TlCd2Au from the Open Quantum Materials Database. Energies are from PBE-GGA.

Values from the calculation:
Calculated total energy ... -29.1 eV per cell
V ... 22.89 Å³ per atom

a = 7.1542 Å, b = 7.1542 Å, c = 7.1542 Å
α = 90.00°, β = 90.00°, γ = 90.00°
Space group F-43m (No. 216)
One atom of each set of equivalent atoms:
Tl 0.0000 0.0000 0.0000
Cd 0.0000 0.0000 0.5000
Cd 0.2500 0.2500 0.7500
Au 0.2500 0.2500 0.2500



Here is a relaxed structure of Nb from the Open Quantum Materials Database. Energies are from PBE-GGA.

Values from the calculation:
Energy above the most stable polymorph in this dataset ... 296.2 meV/atom
Magnetization ... 0.02 μB per cell
Calculated total energy ... -19.6 eV per cell
V ... 18.81 Å³ per atom

a = 2.8765 Å, b = 2.8765 Å, c = 5.2500 Å
α = 90.00°, β = 90.00°, γ = 120.00°
Space group P6_3/mmc (No. 194)
One atom of each set of equivalent atoms:
Nb 0.3333 0.6667 0.2500



Here is a relaxed structure of CsUIn from the Open Quantum Materials Database. Energies are from PBE-GGA.

Values from the calculation:
Energy above the most stable polymorph in this dataset ... 240.2 meV/atom
Magnetization ... 13.39 μB per cell
Calculated total energy ... -40.2 eV per cell
V ... 36.36 Å³ per atom

a = 7.5844 Å, b = 7.5844 Å, c = 7.5844 Å
α = 90.00°, β = 90.00°, γ = 90.00°
Space group F-43m (No. 216)
One atom of each set of equivalent atoms:
Cs 0.0000 0.0000 0.0000
U 0.2500 0.2500 0.7500
In 0.2500 0.2500 0.2500



Which of these has the highest V? CsUIn